Here is a relaxed V2BTePb crystal from the Alexandria database. Energies are from PBE.

Lattice parameters (Å, degrees): 4.489 4.489 4.747 90.00 90.00 90.00
Space group P4/mmm (No. 123)
Asymmetric unit:
V 0.000 0.500 0.000 x2
B 0.000 0.000 0.000 x1
Te 0.000 0.000 0.500 x1
Pb 0.500 0.500 0.500 x1

Its uncorrected formation energy is 691 meV per atom. As for the calculated total energy: -5.6622 eV/atom.

Here is a relaxed ThBPb crystal from the Alexandria database. Energies are from PBE.

Lattice parameters (Å, degrees): 8.449 3.821 9.398 90.00 91.94 90.00
Space group C2/m (No. 12)
Asymmetric unit:
Th 0.143 0.000 0.151 x4
B 0.080 0.500 0.958 x4
Pb 0.150 0.000 0.595 x4

For the formation energy, the calculation gives -0.101 eV per atom. As for the calculated total energy: -6.0364 eV/atom.

Here is a relaxed Th4BPb2 crystal from the Alexandria database. Energies are from PBE.

Lattice parameters (Å, degrees): 5.087 5.087 16.745 90.00 90.00 90.00
Space group I4/mmm (No. 139)
Asymmetric unit:
Th 0.000 0.000 0.160 x4
Th 0.000 0.500 0.000 x4
B 0.000 0.000 0.000 x2
Pb 0.000 0.000 0.358 x4

For the formation energy, the calculation gives -0.150 eV per atom. As for the calculated total energy: -6.4036 eV/atom.

Here is a relaxed TiB3Pb crystal from the Alexandria database. Energies are from PBE.

Lattice parameters (Å, degrees): 4.495 4.495 4.495 90.00 90.00 90.00
Space group Pm-3m (No. 221)
Asymmetric unit:
Ti 0.000 0.000 0.000 x1
B 0.000 0.500 0.500 x3
Pb 0.500 0.500 0.500 x1

The distance to the lowest polymorph of the same formula comes out at 1179 meV per atom. For the formation energy, the calculation gives 2.524 eV per atom. As for the calculated total energy: -3.8034 eV/atom.